Entry from Alexandria: a relaxed structure of TcPb3O (PBE-GGA).

## Properties
size of the total moment: 0.9 μB/f.u.
uncorrected formation energy: 0.4970 eV per atom
energy: -4.79 eV/atom
crystal system: cubic
polymorph energy (0 for the lowest one): 0.143 eV per atom

Cell lengths 5.252, 5.252, 5.252 Å; angles 90.00, 90.00, 90.00 degrees
Site moments in Bohr magnetons follow the coordinates.
Element x y z (fractional)
Tc 0.000 0.000 0.000  0.00
O 0.500 0.500 0.500  -0.70
Pb 0.000 0.500 0.000  -0.01
Pb 0.000 0.000 0.500  -0.02
Pb 0.500 0.000 0.000  0.00

Entry from Alexandria: a relaxed structure of TcPb2O4 (PBE-GGA).

## Properties
size of the total moment: 0.4 μB/f.u.
uncorrected formation energy: -1.1227 eV per atom
energy: -6.50 eV/atom
crystal system: tetragonal

Cell lengths 3.902, 3.902, 7.237 Å; angles 74.36, 74.36, 90.00 degrees
Site moments in Bohr magnetons follow the coordinates.
Element x y z (fractional)
O 0.000 0.500 0.000  0.03
O 0.160 0.160 0.679  0.00
O 0.500 0.000 0.000  0.03
O 0.840 0.840 0.321  0.00
Pb 0.656 0.656 0.689  0.00
Pb 0.344 0.344 0.311  0.00
Tc 0.000 0.000 0.000  0.27

Entry from Alexandria: a relaxed structure of Tc2Pb2O7 (PBE-GGA).

## Properties
size of the total moment: 3.8 μB/f.u.
uncorrected formation energy: -1.2780 eV per atom
energy: -6.99 eV/atom
crystal system: cubic
polymorph energy (0 for the lowest one): 0.000 eV per atom

Cell lengths 7.478, 7.478, 7.478 Å; angles 60.00, 60.00, 60.00 degrees
Site moments in Bohr magnetons follow the coordinates.
Element x y z (fractional)
O 0.057 0.443 0.057  0.06
O 0.193 0.807 0.807  0.06
O 0.443 0.057 0.057  0.06
O 0.193 0.193 0.807  0.06
O 0.807 0.193 0.807  0.06
O 0.443 0.057 0.443  0.06
O 0.443 0.443 0.057  0.06
O 0.500 0.500 0.500  -0.09
O 0.057 0.443 0.443  0.06
O 0.193 0.807 0.193  0.06
O 0.750 0.750 0.750  -0.09
O 0.057 0.057 0.443  0.06
O 0.807 0.807 0.193  0.06
O 0.807 0.193 0.193  0.06
Pb 0.125 0.625 0.625  -0.01
Pb 0.625 0.625 0.125  -0.01
Pb 0.625 0.125 0.625  -0.01
Pb 0.625 0.625 0.625  -0.01
Tc 0.125 0.125 0.125  1.64
Tc 0.625 0.125 0.125  1.64
Tc 0.125 0.125 0.625  1.64
Tc 0.125 0.625 0.125  1.64

Entry from Alexandria: a relaxed structure of TcPb2O6 (PBE-GGA).

## Properties
size of the total moment: 0.0 μB/f.u.
uncorrected formation energy: -1.0762 eV per atom
energy: -6.36 eV/atom
crystal system: triclinic
polymorph energy (0 for the lowest one): 0.016 eV per atom

Cell lengths 5.930, 5.798, 5.786 Å; angles 110.60, 68.34, 74.51 degrees
Element x y z (fractional)
O 0.981 0.332 0.259
O 0.174 0.816 0.149
O 0.339 0.934 0.705
O 0.019 0.668 0.741
O 0.826 0.184 0.851
O 0.661 0.066 0.295
Tc 0.000 0.000 0.000
Pb 0.197 0.187 0.492
Pb 0.803 0.813 0.508

Entry from Alexandria: a relaxed structure of TcPb2O6 (PBE-GGA).

## Properties
size of the total moment: 0.0 μB/f.u.
uncorrected formation energy: -1.0919 eV per atom
energy: -6.37 eV/atom
crystal system: tetragonal
polymorph energy (0 for the lowest one): 0.000 eV per atom

Cell lengths 5.092, 5.092, 10.256 Å; angles 90.00, 90.00, 90.00 degrees
Element x y z (fractional)
Tc 0.000 0.000 0.000
Tc 0.500 0.500 0.500
Pb 0.000 0.000 0.333
Pb 0.500 0.500 0.167
Pb 0.000 0.000 0.667
Pb 0.500 0.500 0.833
O 0.820 0.180 0.141
O 0.765 0.235 0.500
O 0.180 0.820 0.859
O 0.680 0.680 0.359
O 0.735 0.735 0.000
O 0.235 0.765 0.500
O 0.320 0.320 0.641
O 0.265 0.265 0.000
O 0.320 0.320 0.359
O 0.680 0.680 0.641
O 0.180 0.820 0.141
O 0.820 0.180 0.859

Entry from Alexandria: a relaxed structure of TcPbO3 (PBE-GGA).

## Properties
size of the total moment: 0.3 μB/f.u.
uncorrected formation energy: -1.1661 eV per atom
energy: -6.96 eV/atom
crystal system: cubic

Cell lengths 3.975, 3.975, 3.975 Å; angles 90.00, 90.00, 90.00 degrees
Site moments in Bohr magnetons follow the coordinates.
Element x y z (fractional)
O 0.000 0.000 0.500  0.00
O 0.500 0.000 0.000  0.03
O 0.000 0.500 0.000  0.01
Pb 0.500 0.500 0.500  0.00
Tc 0.000 0.000 0.000  0.20

Entry from Alexandria: a relaxed structure of Tc2Pb5O12 (PBE-GGA).

## Properties
size of the total moment: 0.0 μB/f.u.
uncorrected formation energy: -1.1698 eV per atom
energy: -6.37 eV/atom
crystal system: monoclinic

Cell lengths 5.926, 7.140, 7.996 Å; angles 106.76, 90.00, 114.52 degrees
Element x y z (fractional)
Pb 0.307 0.615 0.640
Pb 0.693 0.385 0.360
Pb 0.323 0.646 0.194
Pb 0.677 0.354 0.806
Pb 0.000 0.000 0.500
Tc 0.778 0.000 0.000
Tc 0.222 0.000 0.000
O 0.396 0.298 0.083
O 0.501 0.002 0.841
O 0.499 0.998 0.159
O 0.604 0.702 0.917
O 0.107 0.731 0.435
O 0.003 0.006 0.813
O 0.901 0.298 0.083
O 0.099 0.702 0.917
O 0.893 0.269 0.565
O 0.376 0.269 0.565
O 0.624 0.731 0.435
O 0.997 0.994 0.187

Entry from Alexandria: a relaxed structure of TcPb3O6 (PBE-GGA).

## Properties
size of the total moment: 1.0 μB/f.u.
uncorrected formation energy: -1.2407 eV per atom
energy: -6.36 eV/atom
crystal system: orthorhombic

Cell lengths 6.144, 8.050, 8.050 Å; angles 105.61, 90.00, 90.00 degrees
Site moments in Bohr magnetons follow the coordinates.
Element x y z (fractional)
O 0.230 0.661 0.649  0.00
O 0.070 0.060 0.940  0.05
O 0.633 0.592 0.113  0.04
O 0.133 0.408 0.887  0.04
O 0.230 0.351 0.339  0.00
O 0.726 0.213 0.787  0.07
O 0.730 0.649 0.661  0.00
O 0.633 0.887 0.408  0.04
O 0.226 0.787 0.213  0.07
O 0.730 0.339 0.351  0.00
O 0.133 0.113 0.592  0.04
O 0.570 0.940 0.060  0.05
Tc 0.013 0.198 0.802  0.64
Tc 0.513 0.802 0.198  0.64
Pb 0.971 0.595 0.405  0.00
Pb 0.490 0.877 0.699  0.02
Pb 0.990 0.123 0.301  0.02
Pb 0.471 0.405 0.595  0.00
Pb 0.490 0.301 0.123  0.02
Pb 0.990 0.699 0.877  0.02

Entry from Alexandria: a relaxed structure of TcPbO3 (PBE-GGA).

## Properties
size of the total moment: 1.6 μB/f.u.
uncorrected formation energy: -1.2325 eV per atom
energy: -7.02 eV/atom
crystal system: cubic

Cell lengths 7.397, 7.397, 7.397 Å; angles 60.00, 60.00, 60.00 degrees
Site moments in Bohr magnetons follow the coordinates.
Element x y z (fractional)
O 0.056 0.444 0.444  0.05
O 0.194 0.194 0.806  0.05
O 0.806 0.806 0.194  0.05
O 0.806 0.194 0.194  0.05
O 0.806 0.194 0.806  0.05
O 0.444 0.056 0.444  0.05
O 0.056 0.444 0.056  0.05
O 0.194 0.806 0.806  0.05
O 0.194 0.806 0.194  0.05
O 0.056 0.056 0.444  0.05
O 0.444 0.056 0.056  0.05
O 0.444 0.444 0.056  0.05
Pb 0.625 0.625 0.625  0.03
Pb 0.625 0.625 0.125  0.03
Pb 0.625 0.125 0.625  0.03
Pb 0.125 0.625 0.625  0.03
Tc 0.125 0.625 0.125  1.24
Tc 0.125 0.125 0.625  1.24
Tc 0.125 0.125 0.125  1.24
Tc 0.625 0.125 0.125  1.24

Entry from Alexandria: a relaxed structure of Tc2PbO (PBE-GGA).

## Properties
size of the total moment: 0.0 μB/f.u.
uncorrected formation energy: 0.3539 eV per atom
energy: -7.00 eV/atom
crystal system: tetragonal
polymorph energy (0 for the lowest one): 0.000 eV per atom

Cell lengths 5.758, 5.758, 6.034 Å; angles 61.50, 61.50, 90.00 degrees
Element x y z (fractional)
Tc 0.261 0.625 0.250
Tc 0.875 0.739 0.750
Tc 0.375 0.511 0.750
Tc 0.489 0.125 0.250
Pb 0.000 0.000 0.000
Pb 0.750 0.250 0.500
O 0.500 0.500 0.000
O 0.250 0.750 0.500

Entry from Alexandria: a relaxed structure of Tc2Pb2O7 (PBE-GGA).

## Properties
size of the total moment: 0.0 μB/f.u.
uncorrected formation energy: -1.2693 eV per atom
energy: -6.98 eV/atom
crystal system: monoclinic
polymorph energy (0 for the lowest one): 0.009 eV per atom

Cell lengths 5.749, 6.251, 6.251 Å; angles 116.63, 95.94, 95.94 degrees
Element x y z (fractional)
O 0.778 0.642 0.934
O 0.778 0.934 0.642
O 0.694 0.437 0.437
O 0.222 0.066 0.358
O 0.306 0.563 0.563
O 0.500 0.000 0.000
O 0.222 0.358 0.066
Pb 0.000 0.687 0.313
Pb 0.000 0.313 0.687
Tc 0.394 0.251 0.251
Tc 0.606 0.749 0.749

Entry from Alexandria: a relaxed structure of TiTcPb2O6 (PBE-GGA).

## Properties
size of the total moment: 0.1 μB/f.u.
uncorrected formation energy: -1.7371 eV per atom
energy: -7.28 eV/atom
crystal system: tetragonal

Cell lengths 3.933, 5.674, 5.674 Å; angles 90.00, 90.00, 90.00 degrees
Element x y z (fractional)
O 0.145 0.000 0.000
O 0.646 0.752 0.752
O 0.145 0.500 0.500
O 0.646 0.248 0.248
O 0.646 0.752 0.248
O 0.646 0.248 0.752
Pb 0.142 0.000 0.500
Pb 0.142 0.500 0.000
Tc 0.645 0.500 0.500
Ti 0.644 0.000 0.000

Please write out number 1 again, unchanged.
Entry from Alexandria: a relaxed structure of TcPb3O (PBE-GGA).

## Properties
size of the total moment: 0.9 μB/f.u.
uncorrected formation energy: 0.4970 eV per atom
energy: -4.79 eV/atom
crystal system: cubic
polymorph energy (0 for the lowest one): 0.143 eV per atom

Cell lengths 5.252, 5.252, 5.252 Å; angles 90.00, 90.00, 90.00 degrees
Site moments in Bohr magnetons follow the coordinates.
Element x y z (fractional)
Tc 0.000 0.000 0.000  0.00
O 0.500 0.500 0.500  -0.70
Pb 0.000 0.500 0.000  -0.01
Pb 0.000 0.000 0.500  -0.02
Pb 0.500 0.000 0.000  0.00

> Which of these has the highest uncorrected formation energy?

TcPb3O